1.
Compound: SrRuBr2
Source: Alexandria via LeMat-Bulk
Functional: GGA-PBE
Structure: relaxed

Cell lengths 4.2051, 4.2051, 11.8190 Å; angles 90.00, 90.00, 90.00 degrees
Closest atoms and distances in Å follow each position.
Sites, in units of the cell vectors:
Sr 0.0000 0.0000 0.0000  4 Br 2.97
Sr 0.5000 0.5000 0.5000  4 Br 2.97
Ru 0.0000 0.5000 0.2500  4 Br 2.97
Ru 0.5000 0.0000 0.7500  4 Br 2.97
Br 0.0000 0.0000 0.5000  4 Sr 2.97
Br 0.0000 0.5000 0.7500  4 Ru 2.97
Br 0.5000 0.0000 0.2500  4 Ru 2.97
Br 0.5000 0.5000 0.0000  4 Sr 2.97

Values from the calculation:
- E_form (uncorrected) (kJ per mole of atoms) = -15.8
- N(E_F) (states/eV/atom) = 1.869
- energy above the most stable polymorph in this dataset (eV per atom) = 0.3955
- total magnetic moment (μB per formula unit) = 2.15

=====

2.
Compound: SrRu2Br
Source: Alexandria via LeMat-Bulk
Functional: GGA-PBE
Structure: relaxed

Cell lengths 11.7048, 3.7842, 4.8076 Å; angles 90.00, 103.75, 90.00 degrees
Closest atoms and distances in Å follow each position.
Sites, in units of the cell vectors:
Sr 0.0000 0.0000 0.0000  4 Br 3.06, 6 Ru 3.15-3.42
Sr 0.5000 0.5000 0.0000  4 Br 3.06, 6 Ru 3.15-3.42
Ru 0.2227 0.5000 0.8575  2 Ru 2.33
Ru 0.2773 0.0000 0.1425  2 Ru 2.33
Ru 0.7227 0.0000 0.8575  2 Ru 2.33
Ru 0.7773 0.5000 0.1425  2 Ru 2.33
Br 0.0000 0.5000 0.5000  2 Ru 2.76, 4 Sr 3.06
Br 0.5000 0.0000 0.5000  2 Ru 2.76, 4 Sr 3.06

Values from the calculation:
- E_form (uncorrected) (kJ per mole of atoms) = 27.9
- N(E_F) (states/eV/atom) = 1.087
- energy above the most stable polymorph in this dataset (eV per atom) = 0.3950
- total magnetic moment (μB per formula unit) = 0.00

=====

3.
Compound: SrRu2Br
Source: Alexandria via LeMat-Bulk
Functional: GGA-PBE
Structure: relaxed

Cell lengths 3.3674, 3.3674, 8.1415 Å; angles 90.00, 90.00, 90.00 degrees
Closest atoms and distances in Å follow each position.
Sites, in units of the cell vectors:
Sr 0.0000 0.0000 0.0000  4 Br 3.06, 5 Ru 3.26-3.36, 4 Sr 3.37
Ru 0.0000 0.0000 0.5997  4 Ru 2.54
Ru 0.5000 0.5000 0.7094  4 Ru 2.54
Br 0.5000 0.5000 0.2351  4 Sr 3.06, 4 Br 3.37

Values from the calculation:
- E_form (uncorrected) (kJ per mole of atoms) = 8.0
- N(E_F) (states/eV/atom) = 0.796
- energy above the most stable polymorph in this dataset (eV per atom) = 0.1883
- total magnetic moment (μB per formula unit) = 0.00

=====

4.
Compound: SrRuBr2
Source: Alexandria via LeMat-Bulk
Functional: GGA-PBE
Structure: relaxed

Cell lengths 7.1289, 8.4853, 5.2556 Å; angles 90.00, 132.24, 90.00 degrees
Closest atoms and distances in Å follow each position.
Sites, in units of the cell vectors:
Sr 0.0000 0.0000 0.0000  4 Br 2.88
Sr 0.5000 0.5000 0.0000  4 Br 2.88
Ru 0.0000 0.5000 0.0000  4 Br 2.88
Ru 0.5000 0.0000 0.0000  4 Br 2.88
Br 0.2500 0.2500 0.5000  2 Ru 2.88, 2 Sr 2.88
Br 0.2500 0.7500 0.5000  2 Ru 2.88, 2 Sr 2.88
Br 0.7500 0.2500 0.5000  2 Ru 2.88, 2 Sr 2.88
Br 0.7500 0.7500 0.5000  2 Ru 2.88, 2 Sr 2.88

Values from the calculation:
- E_form (uncorrected) (kJ per mole of atoms) = -20.6
- N(E_F) (states/eV/atom) = 0.935
- energy above the most stable polymorph in this dataset (eV per atom) = 0.3465
- total magnetic moment (μB per formula unit) = 1.87

=====

5.
Compound: SrRu2Br
Source: Alexandria via LeMat-Bulk
Functional: GGA-PBE
Structure: relaxed

Cell lengths 4.9663, 4.9663, 6.7798 Å; angles 90.00, 90.00, 90.00 degrees
Closest atoms and distances in Å follow each position.
Sites, in units of the cell vectors:
Sr 0.0000 0.0000 0.0000  4 Br 3.01, 4 Ru 3.01
Sr 0.5000 0.5000 0.5000  4 Br 3.01, 4 Ru 3.01
Ru 0.0000 0.0000 0.5000  4 Br 3.01, 4 Ru 3.01
Ru 0.0000 0.5000 0.7500  4 Ru 3.01, 4 Sr 3.01
Ru 0.5000 0.0000 0.2500  4 Ru 3.01, 4 Sr 3.01
Ru 0.5000 0.5000 0.0000  4 Br 3.01, 4 Ru 3.01
Br 0.0000 0.5000 0.2500  4 Ru 3.01, 4 Sr 3.01
Br 0.5000 0.0000 0.7500  4 Ru 3.01, 4 Sr 3.01

Values from the calculation:
- E_form (uncorrected) (kJ per mole of atoms) = 69.3
- N(E_F) (states/eV/atom) = 0.810
- energy above the most stable polymorph in this dataset (eV per atom) = 0.8240
- total magnetic moment (μB per formula unit) = 3.59

=====

6.
Compound: SrRuBr2
Source: Alexandria via LeMat-Bulk
Functional: GGA-PBE
Structure: relaxed

Cell lengths 3.8073, 3.8202, 6.8801 Å; angles 90.00, 90.00, 90.00 degrees
Closest atoms and distances in Å follow each position.
Sites, in units of the cell vectors:
Sr 0.0000 0.0000 0.0000  8 Br 3.22, 2 Ru 3.44
Ru 0.0000 0.0000 0.5000  8 Br 3.18, 2 Sr 3.44
Br 0.5000 0.5000 0.2559  4 Ru 3.18, 4 Sr 3.22, 2 Br 3.36-3.52
Br 0.5000 0.5000 0.7441  4 Ru 3.18, 4 Sr 3.22, 2 Br 3.36-3.52

Values from the calculation:
- E_form (uncorrected) (kJ per mole of atoms) = -8.8
- N(E_F) (states/eV/atom) = 1.013
- energy above the most stable polymorph in this dataset (eV per atom) = 0.4682
- total magnetic moment (μB per formula unit) = 2.24